[1]
VASP calculation (PBE) on a relaxed structure of LiCrOs.

Calculated values
Relative energy among the computed polymorphs: 0 meV/atom
E_form: 0.50 eV per formula unit
Fermi-level density of states: 1.912 states/eV/f.u.

```
data_LiCrOs
_chemical_formula_sum 'Li2 Cr2 Os2'
_cell_length_a 2.651
_cell_length_b 4.046
_cell_length_c 7.504
_cell_angle_alpha 90.00
_cell_angle_beta 90.59
_cell_angle_gamma 90.00
_space_group_name_H-M_alt 'P 1 21/m 1'
_space_group_IT_number 11
_space_group_name_Hall '-P 2yb'
loop_
_atom_site_label
_atom_site_fract_x
_atom_site_fract_y
_atom_site_fract_z
Li1 0.153 0.250 0.071
Cr1 0.090 0.750 0.593
Os1 0.472 0.250 0.711
```



[2]
VASP calculation (PBE) on a relaxed structure of LiCrOs.

Calculated values
Relative energy among the computed polymorphs: 113 meV/atom
E_form: 0.84 eV per formula unit
Fermi-level density of states: 3.058 states/eV/f.u.

```
data_LiCrOs
_chemical_formula_sum 'Li2 Cr2 Os2'
_cell_length_a 2.548
_cell_length_b 4.076
_cell_length_c 7.263
_cell_angle_alpha 90.00
_cell_angle_beta 90.00
_cell_angle_gamma 90.00
_space_group_name_H-M_alt 'I m m 2'
_space_group_IT_number 44
_space_group_name_Hall 'I 2 -2'
loop_
_atom_site_label
_atom_site_fract_x
_atom_site_fract_y
_atom_site_fract_z
Li1 0.000 0.000 0.000
Cr1 0.000 0.000 0.669
Os1 0.000 0.000 0.337
```



[3]
VASP calculation (PBE) on a relaxed structure of LiCrOs4.

Calculated values
E_form: 3.52 eV per formula unit
Fermi-level density of states: 8.539 states/eV/f.u.

```
data_LiCrOs4
_chemical_formula_sum 'Li4 Cr4 Os16'
_cell_length_a 7.243
_cell_length_b 7.243
_cell_length_c 7.243
_cell_angle_alpha 90.00
_cell_angle_beta 90.00
_cell_angle_gamma 90.00
_space_group_name_H-M_alt 'F -4 3 m'
_space_group_IT_number 216
_space_group_name_Hall 'F -4 2 3'
loop_
_atom_site_label
_atom_site_fract_x
_atom_site_fract_y
_atom_site_fract_z
Li1 0.000 0.000 0.000
Cr1 0.250 0.250 0.750
Os1 0.125 0.125 0.375
```



[4]
VASP calculation (PBE) on a relaxed structure of LiCrOs3.

Calculated values
Relative energy among the computed polymorphs: 0 meV/atom
E_form: 6.42 eV per formula unit
Fermi-level density of states: 4.029 states/eV/f.u.

```
data_LiCrOs3
_chemical_formula_sum 'Li1 Cr1 Os3'
_cell_length_a 4.044
_cell_length_b 4.044
_cell_length_c 4.044
_cell_angle_alpha 90.00
_cell_angle_beta 90.00
_cell_angle_gamma 90.00
_space_group_name_H-M_alt 'P m -3 m'
_space_group_IT_number 221
_space_group_name_Hall '-P 4 2 3'
loop_
_atom_site_label
_atom_site_fract_x
_atom_site_fract_y
_atom_site_fract_z
Li1 0.000 0.000 0.000
Cr1 0.500 0.500 0.500
Os1 0.000 0.000 0.500
```